(w)
Compound: KReMo2
Source: Alexandria
Functional: GGA-PBEsol
Structure: optimized geometry

Cell and atoms, written as CIF:
```
data_KReMo2
_cell_length_a 3.118
_cell_length_b 4.464
_cell_length_c 10.312
_cell_angle_alpha 90.00
_cell_angle_beta 90.00
_cell_angle_gamma 90.00
_symmetry_space_group_name_H-M 'C m m 2'
_symmetry_Int_Tables_number 35
_symmetry_space_group_name_Hall 'C 2 -2'
loop_
_atom_site_label
_atom_site_fract_x
_atom_site_fract_y
_atom_site_fract_z
K1 0.000 0.000 0.000
Re1 0.000 0.500 0.717
Mo1 0.000 0.000 0.511
Mo2 0.000 0.500 0.305
```

=====

(x)
Compound: KReMo2
Source: Alexandria
Functional: GGA-PBEsol
Structure: optimized geometry

Cell and atoms, written as CIF:
```
data_KReMo2
_cell_length_a 3.114
_cell_length_b 4.489
_cell_length_c 10.420
_cell_angle_alpha 90.00
_cell_angle_beta 90.00
_cell_angle_gamma 90.00
_symmetry_space_group_name_H-M 'C m m m'
_symmetry_Int_Tables_number 65
_symmetry_space_group_name_Hall '-C 2 2'
loop_
_atom_site_label
_atom_site_fract_x
_atom_site_fract_y
_atom_site_fract_z
K1 0.000 0.000 0.000
Re1 0.000 0.000 0.500
Mo1 0.000 0.500 0.296
```

=====

Which of them is most stable? Easy: (w).

=====

(w)
Compound: KRe2Mo
Source: Alexandria
Functional: GGA-PBEsol
Structure: optimized geometry

Cell and atoms, written as CIF:
```
data_KRe2Mo
_cell_length_a 5.533
_cell_length_b 9.628
_cell_length_c 2.602
_cell_angle_alpha 90.00
_cell_angle_beta 107.12
_cell_angle_gamma 90.00
_symmetry_space_group_name_H-M 'C 1 2/m 1'
_symmetry_Int_Tables_number 12
_symmetry_space_group_name_Hall '-C 2y'
loop_
_atom_site_label
_atom_site_fract_x
_atom_site_fract_y
_atom_site_fract_z
K1 0.000 0.000 0.000
Re1 0.250 0.250 0.500
Mo1 0.000 0.500 0.000
```

=====

(x)
Compound: KRe2Mo
Source: Alexandria
Functional: GGA-PBEsol
Structure: optimized geometry

Cell and atoms, written as CIF:
```
data_KRe2Mo
_cell_length_a 2.7842
_cell_length_b 2.7842
_cell_length_c 31.6126
_cell_angle_alpha 90.00
_cell_angle_beta 90.00
_cell_angle_gamma 120.00
_symmetry_space_group_name_H-M 'R 3 m'
_symmetry_Int_Tables_number 160
_symmetry_space_group_name_Hall 'R 3 -2"'
loop_
_atom_site_label
_atom_site_fract_x
_atom_site_fract_y
_atom_site_fract_z
K1 0.0000 0.0000 0.0000
Re1 0.0000 0.0000 0.2382
Re2 0.0000 0.0000 0.5047
Mo1 0.0000 0.0000 0.7664
```

=====

Which of them is most stable? Easy: (x).

=====

(w)
Compound: K2ScMo
Source: Alexandria
Functional: GGA-PBEsol
Structure: optimized geometry

Cell and atoms, written as CIF:
```
data_K2ScMo
_cell_length_a 3.248
_cell_length_b 4.902
_cell_length_c 12.816
_cell_angle_alpha 90.00
_cell_angle_beta 90.00
_cell_angle_gamma 90.00
_symmetry_space_group_name_H-M 'C m m m'
_symmetry_Int_Tables_number 65
_symmetry_space_group_name_Hall '-C 2 2'
loop_
_atom_site_label
_atom_site_fract_x
_atom_site_fract_y
_atom_site_fract_z
K1 0.000 0.000 0.231
Sc1 0.000 0.500 0.500
Mo1 0.000 0.500 0.000
```

=====

(x)
Compound: K2ScMo
Source: Alexandria
Functional: GGA-PBEsol
Structure: optimized geometry

Cell and atoms, written as CIF:
```
data_K2ScMo
_cell_length_a 4.160
_cell_length_b 4.160
_cell_length_c 6.300
_cell_angle_alpha 90.00
_cell_angle_beta 90.00
_cell_angle_gamma 90.00
_symmetry_space_group_name_H-M 'P 4/m m m'
_symmetry_Int_Tables_number 123
_symmetry_space_group_name_Hall '-P 4 2'
loop_
_atom_site_label
_atom_site_fract_x
_atom_site_fract_y
_atom_site_fract_z
K1 0.000 0.500 0.000
Sc1 0.000 0.000 0.500
Mo1 0.500 0.500 0.500
```

=====

(y)
Compound: K2ScMo
Source: Alexandria
Functional: GGA-PBEsol
Structure: optimized geometry

Cell and atoms, written as CIF:
```
data_K2ScMo
_cell_length_a 9.285
_cell_length_b 2.963
_cell_length_c 10.061
_cell_angle_alpha 90.00
_cell_angle_beta 92.13
_cell_angle_gamma 90.00
_symmetry_space_group_name_H-M 'C 1 m 1'
_symmetry_Int_Tables_number 8
_symmetry_space_group_name_Hall 'C -2y'
loop_
_atom_site_label
_atom_site_fract_x
_atom_site_fract_y
_atom_site_fract_z
K1 0.000 0.000 0.000
K2 0.239 0.000 0.601
Sc1 0.261 0.500 0.273
Mo1 0.494 0.000 0.332
```

=====

Which of them is most stable? Easy: (y).